<a>
# ZrAl4

A relaxed structure of ZrAl4 (GGA-PBE, Alexandria).

Lattice parameters (Å, degrees): 5.2799 5.2799 5.2799 90.00 90.00 90.00
Last column: nearest neighbours and their distance in Å.
Space group Pm-3m (No. 221)
One atom of each set of equivalent atoms:
Zr: 0.0000 0.0000 0.0000 (multiplicity 1)  6 Al 2.64
Al: 0.0000 0.0000 0.5000 (multiplicity 3)  2 Zr 2.64
Al: 0.5000 0.5000 0.5000 (multiplicity 1)  12 Al 3.73

total magnetization = 0.47 μB/cell
N(E_F) = 1.588 states/eV/atom

***

<b>
# ZrAl4

A relaxed structure of ZrAl4 (GGA-PBE, Alexandria).

Lattice parameters (Å, degrees): 6.3136 6.3136 6.3136 90.00 90.00 90.00
Last column: nearest neighbours and their distance in Å.
Space group Im-3m (No. 229)
One atom of each set of equivalent atoms:
Zr: 0.0000 0.0000 0.0000 (multiplicity 2)  8 Al 2.73
Al: 0.2500 0.2500 0.2500 (multiplicity 8)  2 Zr 2.73

total magnetization = 3.29 μB/cell
N(E_F) = 1.496 states/eV/atom

***

Most stable to least stable: <b>, <a>

***

<a>
# As

A relaxed structure of As (GGA-PBE, Alexandria).

Lattice parameters (Å, degrees): 5.3947 5.7089 2.8233 90.00 90.00 90.00
Last column: nearest neighbours and their distance in Å.
Space group Cmmm (No. 65)
One atom of each set of equivalent atoms:
As: 0.0000 0.2179 0.0000 (multiplicity 4)  3 As 2.49-2.72

total magnetization = 0.00 μB/cell
N(E_F) = 0.325 states/eV/atom

***

<b>
# As

A relaxed structure of As (GGA-PBE, Alexandria).

Lattice parameters (Å, degrees): 3.3786 3.3786 3.3786 90.00 90.00 90.00
Last column: nearest neighbours and their distance in Å.
Space group Im-3m (No. 229)
One atom of each set of equivalent atoms:
As: 0.0000 0.0000 0.0000 (multiplicity 2)  8 As 2.93

total magnetization = 0.00 μB/cell
N(E_F) = 0.869 states/eV/atom

***

<c>
# As

A relaxed structure of As (GGA-PBE, Alexandria).

Lattice parameters (Å, degrees): 4.5220 4.5220 5.3441 90.00 90.00 120.00
Last column: nearest neighbours and their distance in Å.
Space group P6_3/mmc (No. 194)
One atom of each set of equivalent atoms:
As: 0.0000 0.0000 0.2500 (multiplicity 2)  5 As 2.61-2.67
As: 0.3333 0.6667 0.2500 (multiplicity 2)  3 As 2.61

total magnetization = 0.00 μB/cell
N(E_F) = 0.516 states/eV/atom

***

<d>
# As

A relaxed structure of As (GGA-PBE, Alexandria).

Lattice parameters (Å, degrees): 9.8089 9.8089 9.8089 90.00 90.00 90.00
Last column: nearest neighbours and their distance in Å.
Space group Im-3m (No. 229)
One atom of each set of equivalent atoms:
As: 0.1299 0.1299 0.1299 (multiplicity 16)  3 As 2.55

total magnetization = 0.00 μB/cell

***

Most stable to least stable: <a>, <d>, <c>, <b>

***

<a>
# As

A relaxed structure of As (GGA-PBE, Alexandria).

Lattice parameters (Å, degrees): 3.7160 11.4041 4.6798 90.00 90.00 90.00
Last column: nearest neighbours and their distance in Å.
Space group Cmce (No. 64)
One atom of each set of equivalent atoms:
As: 0.0000 0.1061 0.0688 (multiplicity 8)  3 As 2.50-2.52

total magnetization = 0.00 μB/cell
N(E_F) = 0.022 states/eV/atom

***

<b>
# As

A relaxed structure of As (GGA-PBE, Alexandria).

Lattice parameters (Å, degrees): 2.7626 2.7626 11.4785 90.00 90.00 90.00
Last column: nearest neighbours and their distance in Å.
Space group I4/mmm (No. 139)
One atom of each set of equivalent atoms:
As: 0.0000 0.0000 0.1079 (multiplicity 4)  5 As 2.48-2.76

total magnetization = 0.00 μB/cell
N(E_F) = 0.395 states/eV/atom

***

Most stable to least stable: <a>, <b>

***

<a>
# As3Au

A relaxed structure of As3Au (GGA-PBE, Alexandria).

Lattice parameters (Å, degrees): 5.1253 5.1253 5.1253 90.00 90.00 90.00
Last column: nearest neighbours and their distance in Å.
Space group Pm-3m (No. 221)
One atom of each set of equivalent atoms:
As: 0.0000 0.0000 0.5000 (multiplicity 3)  2 Au 2.56
Au: 0.0000 0.0000 0.0000 (multiplicity 1)  6 As 2.56

total magnetization = 0.00 μB/cell
N(E_F) = 0.808 states/eV/atom

***

<b>
# As3Au

A relaxed structure of As3Au (GGA-PBE, Alexandria).

Lattice parameters (Å, degrees): 3.2961 3.2961 6.9999 90.00 90.00 90.00
Last column: nearest neighbours and their distance in Å.
Space group P4/mmm (No. 123)
One atom of each set of equivalent atoms:
As: 0.0000 0.0000 0.0000 (multiplicity 1)  8 As 2.88
As: 0.5000 0.5000 0.2425 (multiplicity 2)  4 As 2.88, 4 Au 2.95
Au: 0.0000 0.0000 0.5000 (multiplicity 1)  8 As 2.95, 4 Au 3.30

total magnetization = 0.00 μB/cell
N(E_F) = 0.633 states/eV/atom

***

Most stable to least stable: <b>, <a>

***

<a>
# As3Au

A relaxed structure of As3Au (GGA-PBE, Alexandria).

Lattice parameters (Å, degrees): 4.2663 4.2663 4.2663 90.00 90.00 90.00
Last column: nearest neighbours and their distance in Å.
Space group Pm-3m (No. 221)
One atom of each set of equivalent atoms:
As: 0.0000 0.0000 0.5000 (multiplicity 3)  4 Au 3.02, 8 As 3.02
Au: 0.5000 0.5000 0.5000 (multiplicity 1)  12 As 3.02

total magnetization = 0.00 μB/cell
N(E_F) = 0.453 states/eV/atom

***

<b>
# As3Au

A relaxed structure of As3Au (GGA-PBE, Alexandria).

Lattice parameters (Å, degrees): 3.8546 3.8546 10.7821 90.00 90.00 90.00
Last column: nearest neighbours and their distance in Å.
Space group I4/mmm (No. 139)
One atom of each set of equivalent atoms:
As: 0.0000 0.0000 0.0000 (multiplicity 2)  4 Au 2.73, 2 As 2.75
As: 0.0000 0.0000 0.2555 (multiplicity 4)  1 Au 2.64, 5 As 2.73-2.75
Au: 0.0000 0.0000 0.5000 (multiplicity 2)  6 As 2.64-2.73

total magnetization = 0.00 μB/cell
N(E_F) = 0.548 states/eV/atom

***

Most stable to least stable: <b>, <a>

***

<a>
# As5Au4

A relaxed structure of As5Au4 (GGA-PBE, Alexandria).

Lattice parameters (Å, degrees): 8.2713 8.2713 5.8073 90.00 90.00 120.00
Last column: nearest neighbours and their distance in Å.
Space group P6_3/mcm (No. 193)
One atom of each set of equivalent atoms:
As: 0.0000 0.3014 0.2500 (multiplicity 6)  7 Au 2.76-2.94
As: 0.3333 0.6667 0.0000 (multiplicity 4)  8 As 2.90-3.24, 6 Au 3.03
Au: 0.0000 0.0000 0.0000 (multiplicity 2)  6 As 2.89, 2 Au 2.90
Au: 0.0000 0.3590 0.7500 (multiplicity 6)  9 As 2.76-3.03

total magnetization = 0.00 μB/cell
N(E_F) = 0.324 states/eV/atom

***

<b>
# As5Au4

A relaxed structure of As5Au4 (GGA-PBE, Alexandria).

Lattice parameters (Å, degrees): 9.1724 9.1724 4.1067 90.00 90.00 90.00
Last column: nearest neighbours and their distance in Å.
Space group I4/mmm (No. 139)
One atom of each set of equivalent atoms:
As: 0.0000 0.0000 0.0000 (multiplicity 2)  4 Au 3.06, 8 As 3.08
As: 0.1768 0.1768 0.5000 (multiplicity 8)  4 As 2.80-3.08, 6 Au 2.97-2.99
Au: 0.0000 0.3335 0.0000 (multiplicity 8)  7 As 2.97-3.06, 5 Au 2.98-3.05

total magnetization = 0.00 μB/cell
N(E_F) = 0.386 states/eV/atom

***

Most stable to least stable: <b>, <a>

***

<a>
# As5Au

A relaxed structure of As5Au (GGA-PBE, Alexandria).

Lattice parameters (Å, degrees): 2.7408 16.2625 11.5645 90.00 90.00 90.00
Last column: nearest neighbours and their distance in Å.
Space group Fmm2 (No. 42)
One atom of each set of equivalent atoms:
As: 0.0000 0.0000 0.0000 (multiplicity 4)  6 As 2.74-3.02, 1 Au 3.02
As: 0.0000 0.1482 0.2517 (multiplicity 8)  3 As 2.52-2.74, 2 Au 2.78
As: 0.0000 0.1637 0.4688 (multiplicity 8)  3 As 2.52-2.74
Au: 0.0000 0.0000 0.7386 (multiplicity 4)  2 Au 2.74, 5 As 2.78-3.02

total magnetization = 0.00 μB/cell
N(E_F) = 0.347 states/eV/atom

***

<b>
# As5Au

A relaxed structure of As5Au (GGA-PBE, Alexandria).

Lattice parameters (Å, degrees): 2.9550 15.4832 5.0583 90.00 90.00 90.00
Last column: nearest neighbours and their distance in Å.
Space group Cmmm (No. 65)
One atom of each set of equivalent atoms:
As: 0.0000 0.0000 0.0000 (multiplicity 2)  4 Au 2.93, 6 As 2.96-3.04
As: 0.0000 0.1713 0.5000 (multiplicity 4)  8 As 2.85-2.96, 2 Au 3.04
As: 0.0000 0.3284 0.0000 (multiplicity 4)  10 As 2.84-3.04
Au: 0.0000 0.5000 0.5000 (multiplicity 2)  8 As 2.93-3.04, 2 Au 2.96

total magnetization = 0.00 μB/cell
N(E_F) = 0.435 states/eV/atom

***

<c>
# As5Au

A relaxed structure of As5Au (GGA-PBE, Alexandria).

Lattice parameters (Å, degrees): 2.7671 2.7671 15.4904 90.00 90.00 90.00
Last column: nearest neighbours and their distance in Å.
Space group P4/mmm (No. 123)
One atom of each set of equivalent atoms:
As: 0.0000 0.0000 0.0000 (multiplicity 1)  4 As 2.77
As: 0.0000 0.0000 0.3460 (multiplicity 2)  4 As 2.77, 4 Au 3.09
As: 0.5000 0.5000 0.1653 (multiplicity 2)  4 As 2.77
Au: 0.5000 0.5000 0.5000 (multiplicity 1)  4 Au 2.77, 8 As 3.09

total magnetization = 0.00 μB/cell
N(E_F) = 0.544 states/eV/atom

***

<d>
# As5Au

A relaxed structure of As5Au (GGA-PBE, Alexandria).

Lattice parameters (Å, degrees): 3.7070 3.5174 19.0471 90.00 90.00 90.00
Last column: nearest neighbours and their distance in Å.
Space group Amm2 (No. 38)
One atom of each set of equivalent atoms:
As: 0.0000 0.0000 0.0000 (multiplicity 2)  6 As 2.67-2.80
As: 0.0000 0.0000 0.2770 (multiplicity 2)  4 As 2.74, 2 Au 2.82
As: 0.0000 0.0000 0.6055 (multiplicity 2)  2 As 2.67, 4 Au 2.80
As: 0.5000 0.0000 0.4404 (multiplicity 2)  6 As 2.75-2.80
As: 0.5000 0.0000 0.8290 (multiplicity 2)  6 As 2.74-2.75
Au: 0.5000 0.0000 0.1651 (multiplicity 2)  6 As 2.80-2.82

total magnetization = 0.00 μB/cell
N(E_F) = 0.379 states/eV/atom

***

Most stable to least stable: <a>, <d>, <b>, <c>

***

<a>
# As5Au

A relaxed structure of As5Au (GGA-PBE, Alexandria).

Lattice parameters (Å, degrees): 5.4254 5.4254 4.9332 90.00 90.00 120.00
Last column: nearest neighbours and their distance in Å.
Space group P6/mmm (No. 191)
One atom of each set of equivalent atoms:
As: 0.0000 0.5000 0.0000 (multiplicity 3)  8 As 2.71-2.92
As: 0.3333 0.6667 0.5000 (multiplicity 2)  9 As 2.92-3.13, 3 Au 3.13
Au: 0.0000 0.0000 0.5000 (multiplicity 1)  6 As 3.13

total magnetization = 0.00 μB/cell
N(E_F) = 0.449 states/eV/atom

***

<b>
# As5Au

A relaxed structure of As5Au (GGA-PBE, Alexandria).

Lattice parameters (Å, degrees): 7.8637 7.8637 7.8637 90.00 90.00 90.00
Last column: nearest neighbours and their distance in Å.
Space group F-43m (No. 216)
One atom of each set of equivalent atoms:
As: 0.0000 0.0000 0.0000 (multiplicity 4)  12 As 3.26, 4 Au 3.41
As: 0.1241 0.1241 0.6241 (multiplicity 16)  6 As 2.76-2.80
Au: 0.2500 0.2500 0.2500 (multiplicity 4)  16 As 3.26-3.41

total magnetization = 0.00 μB/cell
N(E_F) = 0.518 states/eV/atom

***

Most stable to least stable: <a>, <b>